1.
DFT (GGA-PBE) results for crystalline SrCdPb at its relaxed geometry.

Cell lengths 11.9843, 5.1330, 8.1204 Å; angles 90.00, 130.62, 90.00 degrees
With the nearest neighbours (Å) after each atom.
Atoms (fractional coordinates):
Sr (0.0430, 0.0000, 0.2962)  6 Pb 3.54-3.83, 6 Cd 3.54-3.82
Sr (0.4570, 0.5000, 0.7038)  6 Pb 3.54-3.83, 6 Cd 3.54-3.82
Sr (0.5430, 0.5000, 0.2962)  6 Pb 3.54-3.83, 6 Cd 3.54-3.82
Sr (0.9570, 0.0000, 0.7038)  6 Pb 3.54-3.83, 6 Cd 3.54-3.82
Cd (0.1530, 0.5000, 0.0973)  1 Cd 2.90, 3 Pb 3.04-3.19
Cd (0.3470, 0.0000, 0.9027)  1 Cd 2.90, 3 Pb 3.04-3.19
Cd (0.6530, 0.0000, 0.0973)  1 Cd 2.90, 3 Pb 3.04-3.19
Cd (0.8470, 0.5000, 0.9027)  1 Cd 2.90, 3 Pb 3.04-3.19
Pb (0.1688, 0.5000, 0.7195)  3 Cd 3.04-3.19, 1 Pb 3.21
Pb (0.3312, 0.0000, 0.2805)  3 Cd 3.04-3.19, 1 Pb 3.21
Pb (0.6688, 0.0000, 0.7195)  3 Cd 3.04-3.19, 1 Pb 3.21
Pb (0.8312, 0.5000, 0.2805)  3 Cd 3.04-3.19, 1 Pb 3.21

Results
The total magnetization comes out at 0.00 μB per formula unit. Its energy is -30.2 eV per cell. The value obtained for the energy of formation is -0.4127 eV/atom. As for the calculated volume: 31.60 Å³ per atom.



2.
DFT (GGA-PBE) results for crystalline Pa2NiSn at its relaxed geometry.

Cell lengths 3.2105, 3.2105, 8.4291 Å; angles 90.00, 90.00, 90.00 degrees
With the nearest neighbours (Å) after each atom.
Atoms (fractional coordinates):
Pa (0.0000, 0.0000, 0.2135)  4 Ni 2.90, 4 Pa 3.21
Pa (0.0000, 0.0000, 0.7865)  4 Ni 2.90, 4 Pa 3.21
Ni (0.5000, 0.5000, 0.0000)  8 Pa 2.90, 4 Ni 3.21
Sn (0.5000, 0.5000, 0.5000)  4 Sn 3.21, 8 Pa 3.31

Results
The total magnetization comes out at 0.15 μB per formula unit. Its energy is -29.7 eV per cell. The distance to the lowest polymorph of the same formula comes out at 0 kJ/mol of formula units. The value obtained for the energy of formation is -0.2283 eV/atom. As for the calculated volume: 21.72 Å³ per atom.



3.
DFT (GGA-PBE) results for crystalline CaLaSc2 at its relaxed geometry.

Cell lengths 3.4775, 5.4281, 6.8747 Å; angles 90.00, 104.53, 90.00 degrees
With the nearest neighbours (Å) after each atom.
Atoms (fractional coordinates):
Ca (0.0000, 0.0000, 0.0000)  2 Ca 3.48, 7 Sc 3.54-3.57
La (0.6670, 0.5000, 0.3299)  7 Sc 3.40-3.73, 2 La 3.48
Sc (0.2707, 0.0000, 0.5362)  4 Sc 3.13-3.48
Sc (0.3845, 0.5000, 0.7691)  4 Sc 3.13-3.48, 2 La 3.40

Results
The total magnetization comes out at 0.47 μB per formula unit. Its energy is -19.0 eV per cell. The distance to the lowest polymorph of the same formula comes out at 16 kJ/mol of formula units. The value obtained for the energy of formation is 0.1533 eV/atom. As for the calculated volume: 31.40 Å³ per atom.